Entry 1:
# SmZnAs2Rh5

A relaxed structure of SmZnAs2Rh5 (PBE-GGA, Alexandria).

The value obtained for the energy of formation is -3.5 eV per formula unit.

The space group is P4/mmm (No. 123) and the conventional cell measures 4.089, 4.089 and 10.205 Å, with angles of 90.00, 90.00 and 90.00 degrees. The distinct sites, in fractional coordinates, are Sm at (0.000, 0.000, 0.000), Zn at (0.000, 0.000, 0.500), As at (0.500, 0.500, 0.232), Rh at (0.000, 0.500, 0.351) and Rh at (0.500, 0.500, 0.000).



Entry 2:
# CeZrNi2As2

A relaxed structure of CeZrNi2As2 (PBE-GGA, Alexandria).

The value obtained for the energy of formation is -5.6 eV per formula unit.

The space group is P-3m1 (No. 164) and the conventional cell measures 4.0094, 4.0094 and 7.6378 Å, with angles of 90.00, 90.00 and 120.00 degrees. The distinct sites, in fractional coordinates, are Ce at (0.0000, 0.0000, 0.0000), Zr at (0.0000, 0.0000, 0.5000), Ni at (0.3333, 0.6667, 0.7171) and As at (0.3333, 0.6667, 0.2575).



Entry 3:
# CdPAu

A relaxed structure of CdPAu (PBE-GGA, Alexandria).

The value obtained for the energy of formation is 0.7 eV per formula unit.

The space group is P-6m2 (No. 187) and the conventional cell measures 4.6044, 4.6044 and 3.0590 Å, with angles of 90.00, 90.00 and 120.00 degrees. The distinct sites, in fractional coordinates, are Cd at (0.0000, 0.0000, 0.0000), P at (0.6667, 0.3333, 0.5000) and Au at (0.3333, 0.6667, 0.5000).



Entry 4:
# Na2PPd2

A relaxed structure of Na2PPd2 (PBE-GGA, Alexandria).

The value obtained for the energy of formation is -1.9 eV per formula unit.

The space group is P4/mbm (No. 127) and the conventional cell measures 6.215, 6.215 and 4.914 Å, with angles of 90.00, 90.00 and 90.00 degrees. The distinct sites, in fractional coordinates, are Na at (0.170, 0.330, 0.000), P at (0.000, 0.000, 0.500) and Pd at (0.161, 0.661, 0.500).



Entry 5:
# ZnAs2Br

A relaxed structure of ZnAs2Br (PBE-GGA, Alexandria).

The value obtained for the energy above the most stable polymorph in this dataset is 1.13 eV/f.u. As for the formation energy from raw total energies: 0.1106 eV/atom.

The space group is Cmm2 (No. 35) and the conventional cell measures 3.569, 6.263 and 8.985 Å, with angles of 90.00, 90.00 and 90.00 degrees. The distinct sites, in fractional coordinates, are Zn at (0.000, 0.000, 0.000), As at (0.000, 0.000, 0.421), As at (0.000, 0.500, 0.229) and Br at (0.000, 0.500, 0.808).



Entry 6:
# MnTlHS2

A relaxed structure of MnTlHS2 (PBE-GGA, Alexandria).

The calculation puts the total energy at -4.88 eV per atom.

The space group is Cmme (No. 67) and the conventional cell measures 5.267, 12.384 and 5.507 Å, with angles of 90.00, 90.00 and 90.00 degrees. The distinct sites, in fractional coordinates, are Mn at (0.250, 0.000, 0.000), Tl at (0.000, 0.250, 0.239), H at (0.000, 0.000, 0.500) and S at (0.000, 0.080, 0.739).